Record 1
The following is a DFT calculation (PBE) of NbTl4Ir2 after structural relaxation.

Computed properties:
Spin magnetization ... 0.00 μB per cell

a b c (Å): 5.3855 5.3855 7.7586
angles (deg): 69.69 69.69 90.00
Closest atoms and distances in Å follow each position.
Sites, in units of the cell vectors:
Tl (0.7871, 0.7871, 0.4258)  1 Ir 2.64, 1 Nb 2.88
Tl (0.2129, 0.2129, 0.5742)  1 Ir 2.64, 1 Nb 2.88
Tl (0.0000, 0.5000, 0.0000)  2 Nb 2.69, 4 Ir 2.97
Tl (0.5000, 0.0000, 0.0000)  2 Nb 2.69, 4 Ir 2.97
Ir (0.5921, 0.5921, 0.8159)  1 Ir 2.49, 1 Tl 2.64
Ir (0.4079, 0.4079, 0.1841)  1 Ir 2.49, 1 Tl 2.64
Nb (0.0000, 0.0000, 0.0000)  6 Tl 2.69-2.88

***

Record 2
The following is a DFT calculation (PBE) of BiTe2As2 after structural relaxation.

Computed properties:
Offset from the most stable computed form ... 58 meV/atom
Spin magnetization ... 0.00 μB per cell
ΔE_f (raw) ... 1.12 eV per formula unit

a b c (Å): 3.9147 3.9147 9.2620
angles (deg): 77.80 77.80 90.00
Closest atoms and distances in Å follow each position.
Sites, in units of the cell vectors:
As (0.7500, 0.2500, 0.5000)  4 As 2.77
As (0.2500, 0.7500, 0.5000)  4 As 2.77
Te (0.3961, 0.3961, 0.2078)  4 As 3.24, 4 Bi 3.32
Te (0.6039, 0.6039, 0.7922)  4 As 3.24, 4 Bi 3.32
Bi (0.0000, 0.0000, 0.0000)  8 Te 3.32

***

Record 3
The following is a DFT calculation (PBE) of MgTi14O25 after structural relaxation.

Computed properties:
Spin magnetization ... 16.12 μB per cell
ΔE_f (raw) ... -117.95 eV per formula unit

a b c (Å): 9.8892 10.6950 11.3753
angles (deg): 69.59 64.24 62.46
Closest atoms and distances in Å follow each position.
Sites, in units of the cell vectors:
Mg (0.3033, 0.7500, 0.2500)  6 O 2.03-2.20
Mg (0.6967, 0.2500, 0.7500)  6 O 2.03-2.20
Ti (0.0956, 0.4521, 0.7489)  5 O 1.92-2.15
Ti (0.9075, 0.3882, 0.0578)  4 O 1.91-1.97
Ti (0.4901, 0.8120, 0.9402)  5 O 1.93-2.15
Ti (0.6916, 0.4101, 0.9410)  5 O 1.92-2.14
Ti (0.6465, 0.8882, 0.5578)  4 O 1.91-1.97
Ti (0.8447, 0.4871, 0.5595)  5 O 1.91-2.14
Ti (0.4438, 0.2874, 0.5614)  4 O 1.83-1.99
Ti (0.5011, 0.3529, 0.2490)  4 O 1.93-2.03
Ti (0.2967, 0.0479, 0.7511)  5 O 1.92-2.15
Ti (0.4989, 0.6471, 0.7510)  4 O 1.93-2.03
Ti (0.9573, 0.9101, 0.4410)  5 O 1.92-2.14
Ti (0.1553, 0.5129, 0.4405)  5 O 1.91-2.14
Ti (0.1087, 0.9871, 0.0595)  5 O 1.91-2.14
Ti (0.3084, 0.5899, 0.0590)  5 O 1.92-2.14
Ti (0.8913, 0.0129, 0.9405)  5 O 1.91-2.14
Ti (0.0925, 0.6118, 0.9422)  4 O 1.91-1.97
Ti (0.0427, 0.0899, 0.5590)  5 O 1.92-2.14
Ti (0.2422, 0.6880, 0.5598)  5 O 1.93-2.15
Ti (0.7033, 0.9521, 0.2489)  5 O 1.92-2.15
Ti (0.9044, 0.5479, 0.2511)  5 O 1.92-2.15
Ti (0.8970, 0.8529, 0.7490)  4 O 1.93-2.03
Ti (0.7578, 0.3120, 0.4402)  5 O 1.93-2.15
Ti (0.5562, 0.7126, 0.4386)  4 O 1.83-1.99
Ti (0.3535, 0.1118, 0.4422)  4 O 1.91-1.97
Ti (0.7074, 0.7874, 0.0614)  4 O 1.83-1.99
Ti (0.5099, 0.1880, 0.0598)  5 O 1.93-2.15
Ti (0.2926, 0.2126, 0.9386)  4 O 1.83-1.99
Ti (0.1030, 0.1471, 0.2510)  4 O 1.93-2.03
O (0.2888, 0.4849, 0.5710)  3 Ti 1.96-2.15
O (0.8991, 0.4239, 0.8783)  3 Ti 1.92-1.97
O (0.8010, 0.8759, 0.6235)  3 Ti 1.91-2.01
O (0.0010, 0.4760, 0.6225)  3 Ti 1.91-2.00
O (0.5959, 0.3251, 0.3807)  3 Ti 1.93-1.99
O (0.5089, 0.7767, 0.1138)  2 Ti 1.83-1.95, 1 Mg 2.03
O (0.6996, 0.3759, 0.1235)  3 Ti 1.91-2.01
O (0.4878, 0.0855, 0.5698)  3 Ti 1.97-2.17
O (0.6870, 0.6870, 0.5671)  3 Ti 1.97-2.18
O (0.3447, 0.0151, 0.9290)  3 Ti 1.96-2.15
O (0.5451, 0.6132, 0.9317)  3 Ti 1.96-2.17
O (0.4697, 0.8483, 0.7492)  4 Ti 2.03-2.17
O (0.2686, 0.2500, 0.7500)  4 Ti 2.04-2.14
O (0.6699, 0.4555, 0.7500)  3 Ti 1.96-2.14, 1 Mg 2.09
O (0.1246, 0.9555, 0.2500)  3 Ti 1.96-2.14, 1 Mg 2.09
O (0.3301, 0.5445, 0.2500)  3 Ti 1.96-2.14, 1 Mg 2.09
O (0.2611, 0.7877, 0.0642)  3 Ti 1.96-2.17, 1 Mg 2.20
O (0.4549, 0.3868, 0.0683)  3 Ti 1.96-2.17
O (0.0590, 0.1870, 0.0671)  3 Ti 1.97-2.18
O (0.1130, 0.7123, 0.4358)  3 Ti 1.96-2.17, 1 Mg 2.20
O (0.3130, 0.3130, 0.4329)  3 Ti 1.97-2.18
O (0.0995, 0.0240, 0.8775)  3 Ti 1.91-2.00
O (0.3004, 0.6241, 0.8765)  3 Ti 1.91-2.01
O (0.2014, 0.0761, 0.6217)  3 Ti 1.92-1.97
O (0.4041, 0.6749, 0.6193)  3 Ti 1.93-1.99
O (0.7986, 0.9239, 0.3783)  3 Ti 1.92-1.97
O (0.9990, 0.5240, 0.3775)  3 Ti 1.91-2.00
O (0.9005, 0.9760, 0.1225)  3 Ti 1.91-2.00
O (0.1009, 0.5761, 0.1217)  3 Ti 1.92-1.97
O (0.8870, 0.2877, 0.5642)  3 Ti 1.96-2.17, 1 Mg 2.20
O (0.0900, 0.8868, 0.5683)  3 Ti 1.96-2.17
O (0.1431, 0.4145, 0.9302)  3 Ti 1.97-2.17
O (0.9410, 0.8130, 0.9329)  3 Ti 1.97-2.18
O (0.7389, 0.2123, 0.9358)  3 Ti 1.96-2.17, 1 Mg 2.20
O (0.8754, 0.0445, 0.7500)  3 Ti 1.96-2.14, 1 Mg 2.09
O (0.0672, 0.6517, 0.7508)  4 Ti 2.03-2.17
O (0.9328, 0.3483, 0.2492)  4 Ti 2.03-2.17
O (0.5303, 0.1517, 0.2508)  4 Ti 2.03-2.17
O (0.7314, 0.7500, 0.2500)  4 Ti 2.04-2.14
O (0.6553, 0.9849, 0.0710)  3 Ti 1.96-2.15
O (0.8569, 0.5855, 0.0698)  3 Ti 1.97-2.17
O (0.5122, 0.9145, 0.4302)  3 Ti 1.97-2.17
O (0.7112, 0.5151, 0.4290)  3 Ti 1.96-2.15
O (0.4911, 0.2233, 0.8862)  2 Ti 1.83-1.95, 1 Mg 2.03
O (0.6983, 0.8251, 0.8807)  3 Ti 1.93-1.99
O (0.6005, 0.2767, 0.6138)  2 Ti 1.83-1.95, 1 Mg 2.03
O (0.1990, 0.1241, 0.3765)  3 Ti 1.91-2.01
O (0.3995, 0.7233, 0.3862)  2 Ti 1.83-1.95, 1 Mg 2.03
O (0.3017, 0.1749, 0.1193)  3 Ti 1.93-1.99
O (0.9100, 0.1132, 0.4317)  3 Ti 1.96-2.17

***

Record 4
The following is a DFT calculation (PBE) of NaSr2Tl5 after structural relaxation.

Computed properties:
Offset from the most stable computed form ... 0 meV/atom
Spin magnetization ... 0.00 μB per cell

a b c (Å): 6.9294 6.9294 6.9294
angles (deg): 102.43 113.10 113.10
Closest atoms and distances in Å follow each position.
Sites, in units of the cell vectors:
Na (0.0000, 0.1657, 0.1657)  9 Tl 3.38-3.54
Sr (0.5000, 0.2232, 0.7232)  10 Tl 3.48-3.85, 2 Na 3.85
Sr (0.5000, 0.7232, 0.2232)  10 Tl 3.48-3.85, 2 Na 3.85
Tl (0.4328, 0.6889, 0.6889)  4 Tl 3.31-3.52, 4 Sr 3.48-3.49, 2 Na 3.49-3.54
Tl (0.0000, 0.2561, 0.6889)  4 Tl 3.31-3.52, 4 Sr 3.48-3.49, 2 Na 3.49-3.54
Tl (0.0000, 0.6889, 0.2561)  4 Tl 3.31-3.52, 4 Sr 3.48-3.49, 2 Na 3.49-3.54
Tl (0.5672, 0.2561, 0.2561)  4 Tl 3.31-3.52, 4 Sr 3.48-3.49, 2 Na 3.49-3.54
Tl (0.0000, 0.7758, 0.7758)  1 Na 3.38, 8 Tl 3.51-3.52

***

| no. | uncorrected energy (eV per atom) |
| --- | --- |
| 1 | -4.312 |
| 2 | -3.669 |
| 3 | -8.851 |
| 4 | -2.319 |